(1)
TbGaOs: relaxed, PBE-GGA.

Computed properties:
total DFT energy (no corrections): -6.59 eV/atom
DFT formation energy: -0.295 eV per atom
V: 59.9 Å³/cell
spin magnetization: 0.000 μB per atom

Structure (CIF):
```
data_TbGaOs
_space_group_name_H-M_alt 'P -6 m 2'
_space_group_IT_number 187
_space_group_name_Hall 'P -6 2'
_cell_length_a 4.3587
_cell_length_b 4.3587
_cell_length_c 3.6390
_cell_angle_alpha 90.00
_cell_angle_beta 90.00
_cell_angle_gamma 120.00
loop_
_atom_site_label
_atom_site_type_symbol
_atom_site_fract_x
_atom_site_fract_y
_atom_site_fract_z
Tb1 Tb 0.0000 0.0000 0.0000
Ga1 Ga 0.3333 0.6667 0.5000
Os1 Os 0.6667 0.3333 0.5000
```

=====

(2)
PmGdPbAu: relaxed, PBE-GGA.

Computed properties:
total DFT energy (no corrections): -7.09 eV/atom
DFT formation energy: -0.636 eV per atom
V: 432.8 Å³/cell
spin magnetization: 1.982 μB per atom

Structure (CIF):
```
data_PmGdPbAu
_space_group_name_H-M_alt 'F -4 3 m'
_space_group_IT_number 216
_space_group_name_Hall 'F -4 2 3'
_cell_length_a 7.564
_cell_length_b 7.564
_cell_length_c 7.564
_cell_angle_alpha 90.00
_cell_angle_beta 90.00
_cell_angle_gamma 90.00
loop_
_atom_site_label
_atom_site_type_symbol
_atom_site_fract_x
_atom_site_fract_y
_atom_site_fract_z
Pm1 Pm 0.000 0.000 0.000
Gd1 Gd 0.000 0.000 0.500
Pb1 Pb 0.250 0.250 0.250
Au1 Au 0.250 0.250 0.750
```

=====

Across the entries above, DOS(E_F) takes the values 2.3; 3.3 states/eV/f.u., respectively.